Entry 1:
Material: ZnInAs2
Method: DFT, PBE
State: optimized geometry

Cell and atoms, written as POSCAR:
```
ZnInAs2
1.0
0.000 3.444 3.444
3.444 0.000 3.444
3.444 3.444 0.000
Zn In As
1 1 2
Cartesian
0.000 0.000 0.000
3.444 3.444 3.444
1.722 1.722 1.722
5.167 5.167 5.167
```

Results
SG   No. 225
D(E_F)   0.594 states/eV/atom
Energy of formation from the pure elements   275.5 meV per atom



Entry 2:
Material: Si3HRh
Method: DFT, PBE
State: optimized geometry

Cell and atoms, written as POSCAR:
```
Si3HRh
1.0
3.899 0.000 0.000
0.000 3.899 0.000
0.000 0.000 3.899
Si H Rh
3 1 1
Cartesian
0.000 0.000 1.949
0.000 1.949 0.000
1.949 0.000 0.000
0.000 0.000 0.000
1.949 1.949 1.949
```

Results
SG   No. 221
D(E_F)   0.303 states/eV/atom
Relative energy among the computed polymorphs   0 meV per atom



Entry 3:
Material: AcHo4Er15
Method: DFT, PBE
State: optimized geometry

Cell and atoms, written as POSCAR:
```
AcHo4Er15
1.0
4.993 0.000 0.000
0.000 4.993 0.000
0.000 0.000 24.977
Ac Ho Er
1 4 15
Cartesian
0.000 0.000 0.000
0.000 0.000 5.077
0.000 0.000 10.023
0.000 0.000 14.954
0.000 0.000 19.900
0.000 2.497 2.638
0.000 2.497 7.556
0.000 2.497 12.488
0.000 2.497 17.421
0.000 2.497 22.339
2.497 0.000 2.638
2.497 0.000 7.556
2.497 0.000 12.488
2.497 0.000 17.421
2.497 0.000 22.339
2.497 2.497 0.000
2.497 2.497 5.102
2.497 2.497 10.021
2.497 2.497 14.956
2.497 2.497 19.875
```

Results
SG   No. 123
D(E_F)   1.362 states/eV/atom
Energy of formation from the pure elements   34.0 meV per atom



Entry 4:
Material: Sr2TlAu
Method: DFT, PBE
State: optimized geometry

Cell and atoms, written as POSCAR:
```
Sr2TlAu
1.0
3.966 -4.004 0.000
3.966 4.004 0.000
0.000 0.000 3.937
Sr Tl Au
2 1 1
Cartesian
1.983 2.002 0.000
1.983 -2.002 0.000
0.000 0.000 1.969
3.966 0.000 1.969
```

Results
SG   No. 65
D(E_F)   0.649 states/eV/atom
Energy of formation from the pure elements   -532.3 meV per atom
Relative energy among the computed polymorphs   32 meV per atom



Entry 5:
Material: Zr2SbPb2
Method: DFT, PBE
State: optimized geometry

Cell and atoms, written as POSCAR:
```
Zr2SbPb2
1.0
7.640 0.000 0.000
0.000 7.640 0.000
0.000 0.000 4.402
Zr Sb Pb
4 2 4
Cartesian
1.130 2.690 0.000
2.690 6.511 0.000
4.950 1.130 0.000
6.511 4.950 0.000
0.000 0.000 0.000
3.820 3.820 0.000
1.206 5.026 2.201
2.614 1.206 2.201
5.026 6.435 2.201
6.435 2.614 2.201
```

Results
Energy relative to the elements, uncorrected   -1.07 eV per formula unit
SG   No. 127
D(E_F)   0.916 states/eV/atom
Relative energy among the computed polymorphs   0 meV per atom



Entry 6:
Material: TeAuS3
Method: DFT, PBE
State: optimized geometry

Cell and atoms, written as POSCAR:
```
TeAuS3
1.0
4.809 0.000 0.000
0.000 4.809 0.000
0.000 0.000 4.809
Te Au S
1 1 3
Cartesian
0.000 0.000 0.000
2.405 2.405 2.405
0.000 2.405 2.405
2.405 0.000 2.405
2.405 2.405 0.000
```

Results
Energy relative to the elements, uncorrected   3.51 eV per formula unit
SG   No. 221
D(E_F)   0.893 states/eV/atom
Relative energy among the computed polymorphs   586 meV per atom



Entry 7:
Material: AsOs3O
Method: DFT, PBE
State: optimized geometry

Cell and atoms, written as POSCAR:
```
AsOs3O
1.0
4.130 0.000 0.000
0.000 4.130 0.000
0.000 0.000 4.130
As Os O
1 3 1
Cartesian
0.000 0.000 0.000
0.000 2.065 2.065
2.065 0.000 2.065
2.065 2.065 0.000
2.065 2.065 2.065
```

Results
Energy relative to the elements, uncorrected   5.58 eV per formula unit
SG   No. 221
D(E_F)   0.669 states/eV/atom
Relative energy among the computed polymorphs   0 meV per atom



Entry 8:
Material: RbNa2CdH
Method: DFT, PBE
State: optimized geometry

Cell and atoms, written as POSCAR:
```
RbNa2CdH
1.0
5.153 0.000 0.000
0.000 5.153 0.000
0.000 0.000 6.206
Rb Na Cd H
1 2 1 1
Cartesian
0.000 0.000 0.000
0.000 2.576 3.103
2.576 0.000 3.103
2.576 2.576 0.000
2.576 2.576 3.103
```

Results
SG   No. 123
D(E_F)   0.436 states/eV/atom
Relative energy among the computed polymorphs   94 meV per atom